# 1
Below is Mg2InAs2 at its PBEsol-relaxed geometry, with properties calculated at the SCAN level.

Computed properties:
Calculated total energy (eV/cell): -170.52
DOS(E_F) (states/eV per atom): 0.2337
Formation energy (eV/atom): -0.309

a b c (Å): 8.0419 8.0419 3.1501
angles (deg): 90.00 90.00 90.00
With the nearest neighbours (Å) after each atom.
Positions (direct):
Mg1 0.1394 0.3606 0.0000  6 As 2.78-2.88
Mg2 0.3606 0.8606 0.0000  6 As 2.78-2.88
Mg3 0.6394 0.1394 0.0000  6 As 2.78-2.88
Mg4 0.8606 0.6394 0.0000  6 As 2.78-2.88
In1 0.0000 0.0000 0.5000  4 As 3.02, 2 In 3.15
In2 0.5000 0.5000 0.5000  4 As 3.02, 2 In 3.15
As1 0.1596 0.6596 0.5000  6 Mg 2.78-2.88, 2 In 3.02
As2 0.3404 0.1596 0.5000  6 Mg 2.78-2.88, 2 In 3.02
As3 0.6596 0.8404 0.5000  6 Mg 2.78-2.88, 2 In 3.02
As4 0.8404 0.3404 0.5000  6 Mg 2.78-2.88, 2 In 3.02


# 2
Below is MgIn2As at its PBEsol-relaxed geometry, with properties calculated at the SCAN level.

Computed properties:
Distance to the lowest polymorph of the same formula (meV per atom): 197
Calculated total energy (eV/cell): -91.89
DOS(E_F) (states/eV per atom): 0.4340
Formation energy (eV/atom): 0.013

a b c (Å): 3.8634 3.8634 6.0344
angles (deg): 90.00 90.00 90.00
With the nearest neighbours (Å) after each atom.
Positions (direct):
Mg1 0.0000 0.0000 0.0000  2 As 3.02, 8 In 3.15
In1 0.5000 0.5000 0.2592  2 In 2.91-3.13, 4 As 3.09, 4 Mg 3.15
In2 0.5000 0.5000 0.7408  2 In 2.91-3.13, 4 As 3.09, 4 Mg 3.15
As1 0.0000 0.0000 0.5000  2 Mg 3.02, 8 In 3.09


# 3
Below is MgIn2As at its PBEsol-relaxed geometry, with properties calculated at the SCAN level.

Computed properties:
Distance to the lowest polymorph of the same formula (meV per atom): 129
Calculated total energy (eV/cell): -92.16
DOS(E_F) (states/eV per atom): 0.3690
Formation energy (eV/atom): -0.055

a b c (Å): 3.3811 3.3811 7.9074
angles (deg): 90.00 90.00 90.00
With the nearest neighbours (Å) after each atom.
Positions (direct):
Mg1 0.0000 0.0000 0.0000  4 As 2.81
In1 0.0000 0.0000 0.4353  4 As 3.10, 8 In 3.34-3.38, 1 Mg 3.44
In2 0.5000 0.5000 0.7302  4 Mg 3.20, 8 In 3.34-3.38
As1 0.5000 0.5000 0.1856  4 Mg 2.81, 4 In 3.10


# 4
Below is MgIn2As at its PBEsol-relaxed geometry, with properties calculated at the SCAN level.

Computed properties:
Distance to the lowest polymorph of the same formula (meV per atom): 98
Calculated total energy (eV/cell): -92.28
DOS(E_F) (states/eV per atom): 0.4453
Formation energy (eV/atom): -0.086

a b c (Å): 6.2615 6.2615 3.7518
angles (deg): 107.21 107.21 125.36
With the nearest neighbours (Å) after each atom.
Positions (direct):
Mg1 0.0000 0.0000 0.0000  4 As 2.87-2.90, 4 In 3.14
In1 0.0000 0.5000 0.5000  4 In 2.87-2.90, 2 Mg 3.14, 2 As 3.14
In2 0.5000 0.0000 0.5000  4 In 2.87-2.90, 2 Mg 3.14, 2 As 3.14
As1 0.5000 0.5000 0.0000  4 Mg 2.87-2.90, 4 In 3.14


# 5
Below is MgIn2As at its PBEsol-relaxed geometry, with properties calculated at the SCAN level.

Computed properties:
Distance to the lowest polymorph of the same formula (meV per atom): 0
Calculated total energy (eV/cell): -92.67
DOS(E_F) (states/eV per atom): 0.2131
Formation energy (eV/atom): -0.184

a b c (Å): 4.9434 4.9434 5.8276
angles (deg): 108.60 108.60 45.83
With the nearest neighbours (Å) after each atom.
Positions (direct):
Mg1 0.0000 0.0000 0.0000  3 As 2.67-2.72
In1 0.1553 0.1553 0.5773  2 As 2.81, 3 In 2.85-3.05
In2 0.3843 0.3843 0.3464  3 In 2.85-3.05, 2 As 3.05
As1 0.6965 0.6965 0.9452  3 Mg 2.67-2.72, 2 In 2.81


# 6
Below is MgInAs2 at its PBEsol-relaxed geometry, with properties calculated at the SCAN level.

Computed properties:
Calculated total energy (eV/cell): -79.55
DOS(E_F) (states/eV per atom): 0.4634
Formation energy (eV/atom): -0.203

a b c (Å): 3.8355 5.3966 4.1033
angles (deg): 90.00 90.03 90.00
With the nearest neighbours (Å) after each atom.
Positions (direct):
Mg1 0.0000 0.0000 0.0000  6 As 2.77-2.83
In1 0.4977 0.5000 0.6673  6 As 2.78-2.84
As1 0.5002 0.0000 0.4934  4 Mg 2.79-2.83, 2 In 2.79
As2 0.9981 0.5000 0.1569  2 Mg 2.77, 4 In 2.78-2.84


# 7
Below is MgInAs at its PBEsol-relaxed geometry, with properties calculated at the SCAN level.

Computed properties:
Calculated total energy (eV/cell): -59.35
DOS(E_F) (states/eV per atom): 0.1744
Formation energy (eV/atom): -0.267

a b c (Å): 4.0063 4.0063 5.1043
angles (deg): 90.00 90.00 120.00
With the nearest neighbours (Å) after each atom.
Positions (direct):
Mg1 0.0000 0.0000 0.0000  3 As 2.68
In1 0.6667 0.3333 0.4390  3 As 2.76
As1 0.3333 0.6667 0.7354  3 Mg 2.68, 3 In 2.76


# 8
Below is MnInAs2 at its PBEsol-relaxed geometry, with properties calculated at the SCAN level.

Computed properties:
Calculated total energy (eV/cell): -92.21
DOS(E_F) (states/eV per atom): 0.4343
Formation energy (eV/atom): -0.046

a b c (Å): 6.9956 6.9956 6.9956
angles (deg): 153.59 150.07 40.33
With the nearest neighbours (Å) after each atom.
Positions (direct):
Mn1 0.0000 0.0000 0.0000  6 As 2.43-2.52
In1 0.2316 0.7316 0.5000  6 As 2.93-2.95, 2 In 3.20
As1 0.5563 0.5563 0.0000  4 Mn 2.52
As2 0.8611 0.3611 0.5000  2 Mn 2.43


# 9
Below is Mn2InAs at its PBEsol-relaxed geometry, with properties calculated at the SCAN level.

Computed properties:
Distance to the lowest polymorph of the same formula (meV per atom): 125
Calculated total energy (eV/cell): -90.15
DOS(E_F) (states/eV per atom): 0.7411
Formation energy (eV/atom): -0.016

a b c (Å): 2.9577 2.9577 6.7349
angles (deg): 90.00 90.00 90.00
With the nearest neighbours (Å) after each atom.
Positions (direct):
Mn1 0.0000 0.0000 0.2022  4 As 2.50, 1 Mn 2.72
Mn2 0.0000 0.0000 0.7978  4 As 2.50, 1 Mn 2.72
In1 0.5000 0.5000 0.5000  8 Mn 2.90, 4 In 2.96
As1 0.5000 0.5000 0.0000  8 Mn 2.50


# 10
Below is MnInAs2 at its PBEsol-relaxed geometry, with properties calculated at the SCAN level.

Computed properties:
Calculated total energy (eV/cell): -91.87
DOS(E_F) (states/eV per atom): 0.3859
Formation energy (eV/atom): 0.037

a b c (Å): 2.9213 2.9213 8.3203
angles (deg): 90.00 90.00 90.00
With the nearest neighbours (Å) after each atom.
Positions (direct):
Mn1 0.0000 0.0000 0.0000  8 As 2.51
In1 0.0000 0.0000 0.5000  4 In 2.92
As1 0.5000 0.5000 0.1706  4 Mn 2.51
As2 0.5000 0.5000 0.8294  4 Mn 2.51


# 11
Below is MnIn2As at its PBEsol-relaxed geometry, with properties calculated at the SCAN level.

Computed properties:
Calculated total energy (eV/cell): -104.77
DOS(E_F) (states/eV per atom): 0.4460
Formation energy (eV/atom): 0.112

a b c (Å): 4.4571 4.4571 4.0231
angles (deg): 90.00 90.00 90.00
With the nearest neighbours (Å) after each atom.
Positions (direct):
Mn1 0.0000 0.0000 0.0000  8 In 3.00, 4 As 3.15
In1 0.0000 0.5000 0.5000  4 Mn 3.00, 4 As 3.00, 4 In 3.15
In2 0.5000 0.0000 0.5000  4 Mn 3.00, 4 As 3.00, 4 In 3.15
As1 0.5000 0.5000 0.0000  8 In 3.00, 4 Mn 3.15


# 12
Below is Mn2InAs at its PBEsol-relaxed geometry, with properties calculated at the SCAN level.

Computed properties:
Distance to the lowest polymorph of the same formula (meV per atom): 0
Calculated total energy (eV/cell): -90.65
DOS(E_F) (states/eV per atom): 0.5258
Formation energy (eV/atom): -0.141

a b c (Å): 7.6426 7.6426 7.6426
angles (deg): 24.49 24.49 24.49
With the nearest neighbours (Å) after each atom.
Positions (direct):
Mn1 0.2378 0.2378 0.2378  3 As 2.45
Mn2 0.7622 0.7622 0.7622  3 As 2.45
In1 0.0000 0.0000 0.0000  6 Mn 2.83
As1 0.5000 0.5000 0.5000  6 Mn 2.45